The following is a PBE calculation of a relaxed Nd4Ho3Er4 crystal, from Alexandria.

Lattice parameters (Å, degrees): 3.518 5.656 18.121 81.03 84.42 89.99
Positions (direct):
Nd (0.591, 0.090, 0.819)
Nd (0.268, 0.268, 0.464)
Nd (0.732, 0.732, 0.536)
Nd (0.409, 0.910, 0.181)
Ho (0.136, 0.636, 0.729)
Ho (0.864, 0.364, 0.271)
Ho (0.000, 0.000, 0.000)
Er (0.546, 0.545, 0.910)
Er (0.454, 0.455, 0.090)
Er (0.319, 0.819, 0.361)
Er (0.681, 0.181, 0.639)

* formation enthalpy at 0 K: 0.0664 eV per atom
* mass density: 8.2 g cm⁻³
* space-group type: Immm, No. 71
* energy relative to the lowest polymorph listed for this composition: 0.307 eV per formula unit
* crystal system: orthorhombic